(1)
The following is a DFT calculation (PBE) of a relaxed structure of Sc2CrOs3.

a b c (Å): 5.3048 5.3048 5.0345
angles (deg): 89.96 121.72 120.11
Sites, in units of the cell vectors:
Cr  0.0000  0.0000  0.0000
Os  0.5000  0.5000  0.5000
Os  0.0000  0.0000  0.5000
Os  0.5000  0.0000  0.5000
Sc  0.2509  0.6254  0.8764
Sc  0.7491  0.3746  0.1236

## Properties
size of the total moment	0.0	Bohr magnetons per cell
SG	No. 166
uncorrected energy	-9.66	eV/atom
formation enthalpy at 0 K	-2.010	eV per formula unit

---

(2)
The following is a DFT calculation (PBE) of a relaxed structure of Sb2RuPb.

a b c (Å): 3.3150 6.4705 6.4685
angles (deg): 47.62 90.00 90.00
Sites, in units of the cell vectors:
Sb  0.0000  0.9320  0.9311
Sb  0.5000  0.2484  0.2492
Ru  0.5000  0.7571  0.7580
Pb  0.0000  0.5626  0.5617

## Properties
size of the total moment	0.0	Bohr magnetons per cell
SG	No. 38
raw formation energy	0.109	eV per atom
uncorrected energy	-5.20	eV/atom

---

(3)
The following is a DFT calculation (PBE) of a relaxed structure of Tl2CoMo.

a b c (Å): 5.5384 5.5384 5.5384
angles (deg): 147.61 123.77 66.41
Sites, in units of the cell vectors:
Tl  0.9797  0.9797  0.0000
Tl  0.5203  0.5203  0.0000
Mo  0.2500  0.7500  0.5000
Co  0.7500  0.2500  0.5000

## Properties
size of the total moment	1.6	Bohr magnetons per cell
relative energy among the computed polymorphs	9.07	kcal/mol of atoms
SG	No. 71
uncorrected energy	-4.83	eV/atom
formation enthalpy at 0 K	3.351	eV per formula unit

---

(4)
The following is a DFT calculation (PBE) of a relaxed structure of CeScHgOs.

a b c (Å): 4.9554 4.9554 4.9554
angles (deg): 60.00 60.00 60.00
Sites, in units of the cell vectors:
Sc  0.0000  0.0000  0.0000
Os  0.7500  0.7500  0.7500
Ce  0.5000  0.5000  0.5000
Hg  0.2500  0.2500  0.2500

## Properties
size of the total moment	0.2	Bohr magnetons per cell
relative energy among the computed polymorphs	5.32	kcal/mol of atoms
SG	No. 216
uncorrected energy	-6.12	eV/atom
formation enthalpy at 0 K	-0.683	eV per formula unit

---

(5)
The following is a DFT calculation (PBE) of a relaxed structure of Ta2TiF.

a b c (Å): 4.5160 4.5160 4.5160
angles (deg): 60.00 60.00 60.00
Sites, in units of the cell vectors:
Ta  0.2500  0.2500  0.2500
Ta  0.7500  0.7500  0.7500
F  0.0000  0.0000  0.0000
Ti  0.5000  0.5000  0.5000

## Properties
size of the total moment	0.0	Bohr magnetons per cell
relative energy among the computed polymorphs	0.00	kcal/mol of atoms
SG	No. 225
raw formation energy	0.416	eV per atom
uncorrected energy	-7.95	eV/atom

---

(6)
The following is a DFT calculation (PBE) of a relaxed structure of YSb5.

a b c (Å): 5.9042 5.9042 8.3358
angles (deg): 69.22 69.22 39.55
Sites, in units of the cell vectors:
Sb  0.9248  0.9248  0.5957
Sb  0.6386  0.6386  0.7256
Sb  0.6465  0.6465  0.2508
Sb  0.3191  0.3191  0.3239
Sb  0.0003  0.0003  0.0141
Y  0.3041  0.3041  0.9234

## Properties
size of the total moment	0.0	Bohr magnetons per cell
relative energy among the computed polymorphs	0.53	kcal/mol of atoms
SG	No. 8
raw formation energy	-0.195	eV per atom
uncorrected energy	-4.71	eV/atom